Record 1
PmYTc2O8 (PBE, relaxed); DFT total energy = -8.19 eV per atom; spin magnetization = 4.039 μB/cell; formation energy from raw total energies = -2578 kJ/mol of formula units
1.0
-2.6265 2.6265 5.6817
2.6265 -2.6265 5.6817
2.6265 2.6265 -5.6817
Pm Y Tc O
1 1 2 8
Direct
0.0000 0.0000 0.0000 Pm
0.2500 0.7500 0.5000 Y
0.5000 0.5000 0.0000 Tc
0.7500 0.2500 0.5000 Tc
0.0053 0.0837 0.4192 O
0.2501 0.6651 0.0903 O
0.3349 0.4253 0.5851 O
0.4139 0.9947 0.0784 O
0.5747 0.1598 0.9097 O
0.6645 0.5861 0.5808 O
0.8402 0.7499 0.4149 O
0.9163 0.3355 0.9216 O



Record 2
Pm2ZnTcO8 (PBE, relaxed); DFT total energy = -7.06 eV per atom; spin magnetization = 0.803 μB/cell; formation energy from raw total energies = -2302 kJ/mol of formula units
1.0
4.5345 0.0000 0.0000
0.5239 5.0226 0.0000
0.0568 0.5932 7.1490
Pm Zn Tc O
2 1 1 8
Direct
0.1130 0.4884 0.2483 Pm
0.8870 0.5116 0.7517 Pm
0.5000 0.0000 0.0000 Zn
0.5000 0.0000 0.5000 Tc
0.1734 0.2419 0.5440 O
0.2325 0.3056 0.9698 O
0.3100 0.9080 0.2710 O
0.3479 0.7264 0.6537 O
0.6521 0.2736 0.3463 O
0.6900 0.0920 0.7290 O
0.7675 0.6944 0.0302 O
0.8266 0.7581 0.4560 O